Computed, not measured: crystalline FeTcAu2 at its relaxed geometry at the PBE-GGA level of DFT.

Computed properties:
Its crystal system is monoclinic. As for the offset from the most stable computed form: 0.137 eV/atom. The value obtained for the formation energy from the elements is 120 kJ/mol of formula units.

Lattice parameters (Å, degrees): 4.837 4.837 5.040 98.22 98.22 32.64
Atoms (fractional coordinates):
Fe 0.000 0.000 0.000
Tc 0.743 0.743 0.229
Au 0.253 0.253 0.749
Au 0.494 0.494 0.479